[1]
An optimized crystal structure of PmHoTm2As4, computed with GGA-PBE.

## Properties
energy of formation = -1.51 eV per atom
M_tot = 0.000 μB/atom
energy = -6.12 eV/atom

Cell and atoms, written as CIF:
```
data_PmHoTm2As4
_chemical_formula_sum 'Pm1 Ho1 Tm2 As4'
_cell_length_a 7.129
_cell_length_b 4.120
_cell_length_c 7.131
_cell_angle_alpha 90.00
_cell_angle_beta 109.48
_cell_angle_gamma 90.00
_symmetry_space_group_name_H-M 'P 1 2/m 1'
_symmetry_Int_Tables_number 10
loop_
_symmetry_equiv_pos_as_xyz
'x,y,z'
'-x,-y,-z'
'-x,y,-z'
'x,-y,z'
loop_
_atom_site_label
_atom_site_fract_x
_atom_site_fract_y
_atom_site_fract_z
Pm1 0.000 0.000 0.000
Ho1 0.000 0.500 0.500
Tm1 0.500 0.000 0.500
Tm2 0.500 0.500 0.000
As1 0.255 0.000 0.748
As2 0.258 0.500 0.257
```

[2]
An optimized crystal structure of PmHoU2As4, computed with GGA-PBE.

## Properties
energy of formation = -1.13 eV per atom
M_tot = 0.614 μB/atom
energy = -7.44 eV/atom

Cell and atoms, written as CIF:
```
data_PmHoU2As4
_chemical_formula_sum 'Pm1 Ho1 U2 As4'
_cell_length_a 7.088
_cell_length_b 4.091
_cell_length_c 7.242
_cell_angle_alpha 90.00
_cell_angle_beta 109.03
_cell_angle_gamma 90.00
_symmetry_space_group_name_H-M 'P 1 2/m 1'
_symmetry_Int_Tables_number 10
loop_
_symmetry_equiv_pos_as_xyz
'x,y,z'
'-x,-y,-z'
'-x,y,-z'
'x,-y,z'
loop_
_atom_site_label
_atom_site_fract_x
_atom_site_fract_y
_atom_site_fract_z
Pm1 0.000 0.000 0.000
Ho1 0.500 0.500 0.000
U1 0.000 0.500 0.500
U2 0.500 0.000 0.500
As1 0.253 0.000 0.746
As2 0.256 0.500 0.257
```

[3]
An optimized crystal structure of PmY3Ho2As6, computed with GGA-PBE.

## Properties
energy of formation = -1.54 eV per atom
M_tot = 0.000 μB/atom
energy = -6.64 eV/atom

Cell and atoms, written as CIF:
```
data_PmY3Ho2As6
_chemical_formula_sum 'Pm2 Y6 Ho4 As12'
_cell_length_a 7.164
_cell_length_b 12.407
_cell_length_c 7.163
_cell_angle_alpha 90.00
_cell_angle_beta 109.46
_cell_angle_gamma 90.00
_symmetry_space_group_name_H-M 'C 1 2/m 1'
_symmetry_Int_Tables_number 12
loop_
_symmetry_equiv_pos_as_xyz
'x,y,z'
'-x,-y,-z'
'-x,y,-z'
'x,-y,z'
'x+1/2,y+1/2,z'
'-x+1/2,-y+1/2,-z'
'-x+1/2,y+1/2,-z'
'x+1/2,-y+1/2,z'
loop_
_atom_site_label
_atom_site_fract_x
_atom_site_fract_y
_atom_site_fract_z
Pm1 0.000 0.000 0.000
Y1 0.000 0.165 0.500
Y2 0.000 0.500 0.500
Ho1 0.000 0.333 0.000
As1 0.245 0.500 0.250
As2 0.247 0.331 0.749
```

[4]
An optimized crystal structure of Pm2YHo3As6, computed with GGA-PBE.

## Properties
energy of formation = -1.53 eV per atom
M_tot = 0.000 μB/atom
energy = -6.33 eV/atom

Cell and atoms, written as CIF:
```
data_Pm2YHo3As6
_chemical_formula_sum 'Pm4 Y2 Ho6 As12'
_cell_length_a 18.088
_cell_length_b 4.153
_cell_length_c 8.299
_cell_angle_alpha 90.00
_cell_angle_beta 103.24
_cell_angle_gamma 90.00
_symmetry_space_group_name_H-M 'C 1 2/m 1'
_symmetry_Int_Tables_number 12
loop_
_symmetry_equiv_pos_as_xyz
'x,y,z'
'-x,-y,-z'
'-x,y,-z'
'x,-y,z'
'x+1/2,y+1/2,z'
'-x+1/2,-y+1/2,-z'
'-x+1/2,y+1/2,-z'
'x+1/2,-y+1/2,z'
loop_
_atom_site_label
_atom_site_fract_x
_atom_site_fract_y
_atom_site_fract_z
Pm1 0.166 0.000 0.332
Y1 0.000 0.500 0.000
Ho1 0.000 0.500 0.500
Ho2 0.167 0.000 0.834
As1 0.002 0.000 0.750
As2 0.165 0.500 0.588
As3 0.167 0.500 0.077
```